(1)
DFT (PBE) results for an optimized crystal structure of Cu5Si2Ni.

Computed properties:
crystal system: tetragonal
calculated total energy: -0.1621 Ha/atom

CIF file:
```
data_Cu5Si2Ni
_cell_length_a 4.039
_cell_length_b 4.039
_cell_length_c 5.717
_cell_angle_alpha 90.00
_cell_angle_beta 90.00
_cell_angle_gamma 90.00
_symmetry_space_group_name_H-M 'P 4/m m m'
_symmetry_Int_Tables_number 123
_symmetry_space_group_name_Hall '-P 4 2'
loop_
_atom_site_label
_atom_site_type_symbol
_atom_site_fract_x
_atom_site_fract_y
_atom_site_fract_z
Cu1 Cu 0.000 0.000 0.000
Cu2 Cu 0.000 0.500 0.250
Si1 Si 0.000 0.000 0.500
Si2 Si 0.500 0.500 0.000
Ni1 Ni 0.500 0.500 0.500
```

---

(2)
DFT (PBE) results for an optimized crystal structure of LuBiMo.

Computed properties:
crystal system: cubic
calculated total energy: -0.2203 Ha/atom

CIF file:
```
data_LuBiMo
_cell_length_a 6.725
_cell_length_b 6.725
_cell_length_c 6.725
_cell_angle_alpha 90.00
_cell_angle_beta 90.00
_cell_angle_gamma 90.00
_symmetry_space_group_name_H-M 'F -4 3 m'
_symmetry_Int_Tables_number 216
_symmetry_space_group_name_Hall 'F -4 2 3'
loop_
_atom_site_label
_atom_site_type_symbol
_atom_site_fract_x
_atom_site_fract_y
_atom_site_fract_z
Lu1 Lu 0.000 0.000 0.000
Bi1 Bi 0.000 0.000 0.500
Mo1 Mo 0.250 0.250 0.750
```

---

(3)
DFT (PBE) results for an optimized crystal structure of HgBW.

Computed properties:
crystal system: cubic
energy above the most stable polymorph in this dataset: 0.0 meV per atom

CIF file:
```
data_HgBW
_cell_length_a 5.632
_cell_length_b 5.632
_cell_length_c 5.632
_cell_angle_alpha 90.00
_cell_angle_beta 90.00
_cell_angle_gamma 90.00
_symmetry_space_group_name_H-M 'F -4 3 m'
_symmetry_Int_Tables_number 216
_symmetry_space_group_name_Hall 'F -4 2 3'
loop_
_atom_site_label
_atom_site_type_symbol
_atom_site_fract_x
_atom_site_fract_y
_atom_site_fract_z
Hg1 Hg 0.000 0.000 0.000
B1 B 0.250 0.250 0.250
W1 W 0.000 0.000 0.500
```

---

(4)
DFT (PBE) results for an optimized crystal structure of DyTmZn2.

Computed properties:
crystal system: cubic
energy relative to the elements: -349 meV/atom

CIF file:
```
data_DyTmZn2
_cell_length_a 7.073
_cell_length_b 7.073
_cell_length_c 7.073
_cell_angle_alpha 90.00
_cell_angle_beta 90.00
_cell_angle_gamma 90.00
_symmetry_space_group_name_H-M 'F m -3 m'
_symmetry_Int_Tables_number 225
_symmetry_space_group_name_Hall '-F 4 2 3'
loop_
_atom_site_label
_atom_site_type_symbol
_atom_site_fract_x
_atom_site_fract_y
_atom_site_fract_z
Dy1 Dy 0.000 0.000 0.000
Tm1 Tm 0.000 0.000 0.500
Zn1 Zn 0.250 0.250 0.250
```